Material: TiTlRe3
Method: DFT, PBE-GGA
State: relaxed

Lattice parameters (Å, degrees): 4.628 4.628 4.628 90.00 90.00 90.00
Each line ends with the local moment (μB).
Fractional positions:
Re (0.000, 0.500, 0.000)  0.57
Re (0.000, 0.000, 0.500)  0.44
Re (0.500, 0.000, 0.000)  0.64
Tl (0.500, 0.500, 0.500)  -0.03
Ti (0.000, 0.000, 0.000)  -0.07

Calculated values
VASP energy (eV/atom): -7.601
ΔE_f (eV/atom): 1.921
D(E_F) (states/eV per cell): 6.6